# CdRe2Tc

CdRe2Tc after structural relaxation (GGA-PBEsol, Alexandria via LeMat-Bulk).

abc: 2.6688 5.1598 5.2765
angles: 116.56 99.91 99.51
Fractional positions:
Cd: 0.0000 0.5000 0.0000
Re: 0.0000 0.0000 0.5000
Re: 0.5000 0.5000 0.5000
Tc: 0.5000 0.0000 0.0000

- Formation energy: 645 meV/atom
- DOS at the Fermi energy: 4.99 states/eV/cell
- SG: C2/m (12)
- Calculated total energy: -9.1369 eV per atom